[1]
DFT (GGA-PBE) results for crystalline PmTh2BeN4 at its relaxed geometry.

Unit cell a=3.590 b=6.148 c=11.632 alpha=90.00 beta=90.00 gamma=106.97
Fractional positions:
Pm1 0.098 0.195 0.750
Pm2 0.902 0.805 0.250
Th1 0.369 0.738 0.559
Th2 0.631 0.262 0.059
Th3 0.631 0.262 0.441
Th4 0.369 0.738 0.941
Be1 0.800 0.600 0.750
Be2 0.200 0.400 0.250
N1 0.271 0.542 0.130
N2 0.729 0.458 0.630
N3 0.729 0.458 0.870
N4 0.271 0.542 0.370
N5 0.000 0.000 0.500
N6 0.000 0.000 0.000
N7 0.433 0.866 0.750
N8 0.567 0.134 0.250

Properties
Its uncorrected formation energy is -1.32 eV per atom. The total magnetic moment comes out at 0.00 μB per cell. The volume is 245.6 Å³ per cell. As for the theoretical density: 9.12 g/cm³.

[2]
DFT (GGA-PBE) results for crystalline PmZrBeN3 at its relaxed geometry.

Unit cell a=3.259 b=6.972 c=6.862 alpha=102.73 beta=90.00 gamma=90.00
Fractional positions:
Pm1 0.750 0.816 0.778
Pm2 0.250 0.184 0.222
Zr1 0.250 0.660 0.173
Zr2 0.750 0.340 0.827
Be1 0.250 0.079 0.599
Be2 0.750 0.921 0.401
N1 0.250 0.835 0.485
N2 0.750 0.875 0.146
N3 0.750 0.435 0.165
N4 0.750 0.165 0.515
N5 0.250 0.565 0.835
N6 0.250 0.125 0.854

Properties
Its uncorrected formation energy is -1.36 eV per atom. The total magnetic moment comes out at 0.00 μB per cell. The volume is 152.1 Å³ per cell. As for the theoretical density: 6.27 g/cm³.

[3]
DFT (GGA-PBE) results for crystalline Pr2BeN at its relaxed geometry.

Unit cell a=3.599 b=3.599 c=9.108 alpha=78.61 beta=78.61 gamma=60.00
Fractional positions:
Pr1 0.114 0.114 0.657
Pr2 0.886 0.886 0.343
Be1 0.000 0.000 0.000
N1 0.500 0.500 0.500

Properties
Its uncorrected formation energy is 0.03 eV per atom. The total magnetic moment comes out at 0.00 μB per cell. The volume is 99.5 Å³ per cell. As for the theoretical density: 5.09 g/cm³.

[4]
DFT (GGA-PBE) results for crystalline PrBeN at its relaxed geometry.

Unit cell a=3.699 b=3.765 c=7.029 alpha=90.00 beta=105.22 gamma=90.00
Fractional positions:
Pr1 0.154 0.250 0.810
Pr2 0.846 0.750 0.190
N1 0.336 0.250 0.171
N2 0.664 0.750 0.829
Be1 0.452 0.250 0.403
Be2 0.548 0.750 0.597

Properties
Its uncorrected formation energy is -0.93 eV per atom. The total magnetic moment comes out at 0.00 μB per cell. The volume is 94.5 Å³ per cell. As for the theoretical density: 5.76 g/cm³.

[5]
DFT (GGA-PBE) results for crystalline PrBe2SiN4 at its relaxed geometry.

Unit cell a=4.855 b=4.956 c=4.956 alpha=92.28 beta=60.68 gamma=60.68
Fractional positions:
Pr1 0.000 0.000 0.000
Be1 0.500 0.750 0.250
Be2 0.500 0.250 0.750
Si1 0.000 0.500 0.500
N1 0.608 0.540 0.851
N2 0.392 0.149 0.460
N3 0.000 0.460 0.149
N4 0.000 0.851 0.540

Properties
Its uncorrected formation energy is -0.80 eV per atom. The total magnetic moment comes out at 0.00 μB per cell. The volume is 84.3 Å³ per cell. As for the theoretical density: 4.79 g/cm³.

[6]
DFT (GGA-PBE) results for crystalline Pr2BeSiN at its relaxed geometry.

Unit cell a=3.872 b=6.396 c=8.249 alpha=108.32 beta=90.00 gamma=90.00
Fractional positions:
Pr1 0.750 0.793 0.607
Pr2 0.750 0.785 0.039
Pr3 0.250 0.207 0.393
Pr4 0.250 0.215 0.961
Be1 0.250 0.551 0.757
Be2 0.750 0.449 0.243
Si1 0.250 0.660 0.294
Si2 0.750 0.340 0.706
N1 0.250 0.817 0.830
N2 0.750 0.183 0.170

Properties
Its uncorrected formation energy is -0.91 eV per atom. The total magnetic moment comes out at 0.00 μB per cell. The volume is 194.0 Å³ per cell. As for the theoretical density: 5.70 g/cm³.